[1]
Entry from Alexandria: GaNi2TeO6 after structural relaxation (PBE with a Hubbard U).

Results
The density of states at the Fermi level comes out at 0.172 states/eV/atom.

Cell: 5.3138 5.3138 4.8302 Å, 90.00 90.00 90.00°
Atoms (fractional coordinates):
1 Ga 0.0000 0.0000 0.0000
2 Ni 0.0000 0.5000 0.3597
3 Ni 0.5000 0.0000 0.3597
4 Te 0.5000 0.5000 0.0276
5 O 0.0000 0.0000 0.6325
6 O 0.2439 0.2439 0.1785
7 O 0.2439 0.7561 0.1785
8 O 0.5000 0.5000 0.6422
9 O 0.7561 0.2439 0.1785
10 O 0.7561 0.7561 0.1785

[2]
Entry from Alexandria: GaNiTeO6 after structural relaxation (PBE with a Hubbard U).

Results
The density of states at the Fermi level comes out at 0.337 states/eV/atom.

Cell: 5.1346 5.1346 8.7502 Å, 90.00 90.00 120.00°
Atoms (fractional coordinates):
1 Ga 0.3333 0.6667 0.2500
2 Ga 0.6667 0.3333 0.7500
3 Ni 0.0000 0.0000 0.0000
4 Ni 0.0000 0.0000 0.5000
5 Te 0.3333 0.6667 0.7500
6 Te 0.6667 0.3333 0.2500
7 O 0.0072 0.3509 0.6300
8 O 0.0072 0.6563 0.8700
9 O 0.3437 0.3509 0.8700
10 O 0.3437 0.9928 0.6300
11 O 0.3509 0.0072 0.1300
12 O 0.3509 0.3437 0.3700
13 O 0.6491 0.6563 0.6300
14 O 0.6491 0.9928 0.8700
15 O 0.6563 0.0072 0.3700
16 O 0.6563 0.6491 0.1300
17 O 0.9928 0.3437 0.1300
18 O 0.9928 0.6491 0.3700

[3]
Entry from Alexandria: Ga2NiTeO after structural relaxation (PBE with a Hubbard U).

Results
The density of states at the Fermi level comes out at 0.358 states/eV/atom.

Cell: 4.4433 4.4433 4.8846 Å, 90.00 90.00 90.00°
Atoms (fractional coordinates):
1 Ga 0.0000 0.5000 0.0000
2 Ga 0.5000 0.0000 0.0000
3 Ni 0.0000 0.0000 0.0000
4 Te 0.0000 0.0000 0.5000
5 O 0.5000 0.5000 0.5000

[4]
Entry from Alexandria: TlGa2NiO after structural relaxation (PBE with a Hubbard U).

Results
The density of states at the Fermi level comes out at 0.436 states/eV/atom.

Cell: 4.7941 4.7941 3.8645 Å, 90.00 90.00 90.00°
Atoms (fractional coordinates):
1 Tl 0.0000 0.0000 0.0000
2 Ga 0.0000 0.5000 0.5000
3 Ga 0.5000 0.0000 0.5000
4 Ni 0.5000 0.5000 0.0000
5 O 0.5000 0.5000 0.5000

[5]
Entry from Alexandria: TlGaNiO4 after structural relaxation (PBE with a Hubbard U).

Cell: 6.2198 6.2198 6.2198 Å, 119.98 119.15 90.76°
Atoms (fractional coordinates):
1 Tl 0.0000 0.0000 0.0000
2 Tl 0.5000 0.0000 0.5000
3 Ga 0.3756 0.6256 0.7500
4 Ga 0.6244 0.3744 0.2500
5 Ni 0.0000 0.0000 0.5000
6 Ni 0.0000 0.5000 0.0000
7 O 0.2327 0.7418 0.4908
8 O 0.2394 0.2510 0.5116
9 O 0.2394 0.7278 0.9884
10 O 0.2490 0.2582 0.9908
11 O 0.7510 0.7418 0.0092
12 O 0.7606 0.2722 0.0116
13 O 0.7606 0.7490 0.4884
14 O 0.7673 0.2582 0.5092

[6]
Entry from Alexandria: TmGaNiO4 after structural relaxation (PBE with a Hubbard U).

Results
The density of states at the Fermi level comes out at 0.000 states/eV/atom.

Cell: 6.1593 6.1593 6.1593 Å, 120.42 117.88 91.49°
Atoms (fractional coordinates):
1 Tm 0.0000 0.0000 0.0000
2 Tm 0.5000 0.0000 0.5000
3 Ga 0.3724 0.6224 0.7500
4 Ga 0.6276 0.3776 0.2500
5 Ni 0.0000 0.0000 0.5000
6 Ni 0.0000 0.5000 0.0000
7 O 0.2372 0.7426 0.4946
8 O 0.2446 0.2431 0.4984
9 O 0.2446 0.7462 0.0016
10 O 0.2520 0.2574 0.9946
11 O 0.7480 0.7426 0.0054
12 O 0.7554 0.2538 0.9984
13 O 0.7554 0.7569 0.5016
14 O 0.7628 0.2574 0.5054

[7]
Entry from Alexandria: UGaNi2O6 after structural relaxation (PBE with a Hubbard U).

Results
The density of states at the Fermi level comes out at 0.461 states/eV/atom.

Cell: 5.8552 5.8552 4.0605 Å, 90.00 90.00 90.00°
Atoms (fractional coordinates):
1 U 0.0000 0.0000 0.0000
2 Ga 0.5000 0.5000 0.9784
3 Ni 0.0000 0.5000 0.1336
4 Ni 0.5000 0.0000 0.1336
5 O 0.0000 0.0000 0.5058
6 O 0.2538 0.2538 0.0402
7 O 0.2538 0.7462 0.0402
8 O 0.5000 0.5000 0.5100
9 O 0.7462 0.2538 0.0402
10 O 0.7462 0.7462 0.0402

[8]
Entry from Alexandria: VGaNi2O6 after structural relaxation (PBE with a Hubbard U).

Cell: 5.1136 5.1136 4.7394 Å, 90.00 90.00 90.00°
Atoms (fractional coordinates):
1 V 0.0000 0.0000 0.0000
2 Ga 0.5000 0.5000 0.9582
3 Ni 0.0000 0.5000 0.3297
4 Ni 0.5000 0.0000 0.3297
5 O 0.0000 0.0000 0.6526
6 O 0.2468 0.2468 0.1303
7 O 0.2468 0.7532 0.1303
8 O 0.5000 0.5000 0.5821
9 O 0.7532 0.2468 0.1303
10 O 0.7532 0.7532 0.1303

[9]
Entry from Alexandria: GaNiW2O after structural relaxation (PBE with a Hubbard U).

Results
The density of states at the Fermi level comes out at 0.442 states/eV/atom.

Cell: 4.0140 4.0140 4.5614 Å, 90.00 90.00 90.00°
Atoms (fractional coordinates):
1 Ga 0.0000 0.0000 0.0000
2 Ni 0.5000 0.5000 0.0000
3 W 0.0000 0.5000 0.5000
4 W 0.5000 0.0000 0.5000
5 O 0.0000 0.0000 0.5000

[10]
Entry from Alexandria: GaNi2WO6 after structural relaxation (PBE with a Hubbard U).

Results
The density of states at the Fermi level comes out at 0.195 states/eV/atom.

Cell: 5.8370 5.8370 3.7595 Å, 90.00 90.00 90.00°
Atoms (fractional coordinates):
1 Ga 0.0000 0.0000 0.0000
2 Ni 0.0000 0.5000 0.9978
3 Ni 0.5000 0.0000 0.9978
4 W 0.5000 0.5000 0.0000
5 O 0.0000 0.0000 0.4999
6 O 0.2627 0.2627 0.9995
7 O 0.2627 0.7373 0.9995
8 O 0.5000 0.5000 0.4997
9 O 0.7373 0.2627 0.9995
10 O 0.7373 0.7373 0.9995

Across the entries above, total DFT energy (no corrections) takes the values -4.88, -5.35, -2.90, -3.24, -5.11, -6.49, -6.49, -5.75, -4.12, -5.69 eV per atom, respectively.